No. 1
The following is a DFT calculation (GGA-PBEsol) of a geometry-optimized CsLa3Si structure.

Summary:
Formation energy from raw total energies in eV/atom: 0.153
Magnetization in μB/atom: 0.000
Uncorrected energy in eV per cell: -21.961
ρ in Mg/m³: 4.8
Distance to the lowest polymorph of the same formula in eV per atom: 0.000

The structure in POSCAR format:
```
CsLa3Si
1.0
5.867 0.000 0.000
0.000 5.867 0.000
0.000 0.000 5.867
Cs La Si
1 3 1
Direct
0.000 0.000 0.000 Cs
0.000 0.500 0.500 La
0.500 0.000 0.500 La
0.500 0.500 0.000 La
0.500 0.500 0.500 Si
```



No. 2
The following is a DFT calculation (GGA-PBEsol) of a geometry-optimized LiTiSiO4 structure.

Summary:
Formation energy from raw total energies in eV/atom: -2.697
Magnetization in μB/atom: 0.038
Uncorrected energy in eV per cell: -111.828
ρ in Mg/m³: 3.6
Distance to the lowest polymorph of the same formula in eV per atom: 0.010

The structure in POSCAR format:
```
LiTiSiO4
1.0
2.796 -4.185 0.000
2.796 4.185 0.000
0.000 0.000 5.861
Li Ti Si O
2 2 2 8
Direct
0.159 0.841 0.750 Li
0.841 0.159 0.250 Li
0.500 0.500 0.000 Ti
0.500 0.500 0.500 Ti
0.152 0.848 0.250 Si
0.848 0.152 0.750 Si
0.205 0.258 0.750 O
0.258 0.205 0.250 O
0.267 0.733 0.027 O
0.267 0.733 0.473 O
0.733 0.267 0.527 O
0.733 0.267 0.973 O
0.742 0.795 0.750 O
0.795 0.742 0.250 O
```



No. 3
The following is a DFT calculation (GGA-PBEsol) of a geometry-optimized K2LiCa structure.

Summary:
Magnetization in μB/atom: 0.000
Uncorrected energy in eV per cell: -5.525
ρ in Mg/m³: 1.1

The structure in POSCAR format:
```
K2LiCa
1.0
-2.709 2.709 6.479
2.709 -2.709 6.479
2.709 2.709 -6.479
K Li Ca
2 1 1
Direct
0.250 0.750 0.500 K
0.750 0.250 0.500 K
0.000 0.000 0.000 Li
0.500 0.500 0.000 Ca
```



No. 4
The following is a DFT calculation (GGA-PBEsol) of a geometry-optimized HoSi2Pt2 structure.

Summary:
Formation energy from raw total energies in eV/atom: -1.138
Magnetization in μB/atom: 0.000
Uncorrected energy in eV per cell: -72.118
ρ in Mg/m³: 12.1

The structure in POSCAR format:
```
HoSi2Pt2
1.0
4.126 0.000 0.000
0.000 4.126 0.000
0.000 0.000 9.835
Ho Si Pt
2 4 4
Direct
0.250 0.250 0.247 Ho
0.750 0.750 0.753 Ho
0.250 0.250 0.635 Si
0.250 0.750 0.000 Si
0.750 0.250 0.000 Si
0.750 0.750 0.365 Si
0.250 0.250 0.875 Pt
0.250 0.750 0.500 Pt
0.750 0.250 0.500 Pt
0.750 0.750 0.125 Pt
```



No. 5
The following is a DFT calculation (GGA-PBEsol) of a geometry-optimized Ca2FeSe structure.

Summary:
Formation energy from raw total energies in eV/atom: -0.503
Magnetization in μB/atom: 0.531
Uncorrected energy in eV per cell: -19.091
ρ in Mg/m³: 4.0
Distance to the lowest polymorph of the same formula in eV per atom: 0.000

The structure in POSCAR format:
```
Ca2FeSe
1.0
4.070 0.000 0.000
0.000 2.014 5.489
0.000 -2.014 5.489
Ca Fe Se
2 1 1
Direct
0.000 0.000 0.000 Ca
0.500 0.287 0.287 Ca
0.000 0.710 0.710 Fe
0.500 0.579 0.579 Se
```



No. 6
The following is a DFT calculation (GGA-PBEsol) of a geometry-optimized La4AsBrO8 structure.

Summary:
Formation energy from raw total energies in eV/atom: -2.942
Magnetization in μB/atom: 0.000
Uncorrected energy in eV per cell: -446.202
ρ in Mg/m³: 5.9

The structure in POSCAR format:
```
La4AsBrO8
1.0
8.367 0.000 0.000
0.000 8.367 0.000
0.000 0.000 13.529
La As Br O
16 4 4 32
Direct
0.012 0.755 0.166 La
0.012 0.755 0.834 La
0.245 0.012 0.334 La
0.245 0.012 0.666 La
0.245 0.485 0.333 La
0.245 0.485 0.667 La
0.485 0.755 0.167 La
0.485 0.755 0.833 La
0.515 0.245 0.167 La
0.515 0.245 0.833 La
0.755 0.515 0.333 La
0.755 0.515 0.667 La
0.755 0.988 0.334 La
0.755 0.988 0.666 La
0.988 0.245 0.166 La
0.988 0.245 0.834 La
0.043 0.748 0.500 As
0.252 0.043 0.000 As
0.748 0.957 0.000 As
0.957 0.252 0.500 As
0.253 0.556 0.000 Br
0.444 0.253 0.500 Br
0.556 0.747 0.500 Br
0.747 0.444 0.000 Br
0.000 0.000 0.250 O
0.000 0.000 0.750 O
0.000 0.500 0.238 O
0.000 0.500 0.762 O
0.070 0.252 0.395 O
0.070 0.252 0.605 O
0.086 0.164 0.000 O
0.164 0.914 0.500 O
0.165 0.582 0.500 O
0.249 0.744 0.267 O
0.249 0.744 0.733 O
0.252 0.930 0.105 O
0.252 0.930 0.895 O
0.256 0.249 0.233 O
0.256 0.249 0.767 O
0.418 0.165 0.000 O
0.500 0.000 0.262 O
0.500 0.000 0.738 O
0.500 0.500 0.250 O
0.500 0.500 0.750 O
0.582 0.835 0.000 O
0.744 0.751 0.233 O
0.744 0.751 0.767 O
0.748 0.070 0.105 O
0.748 0.070 0.895 O
0.751 0.256 0.267 O
0.751 0.256 0.733 O
0.835 0.418 0.500 O
0.836 0.086 0.500 O
0.914 0.836 0.000 O
0.930 0.748 0.395 O
0.930 0.748 0.605 O
```



Question: Among the records above, which one has the highest magnetization?
Answer: Ca2FeSe